Arrangement a

The following is a DFT calculation (PBE) of an optimized crystal structure of FeAgSeN2.

POSCAR file:
```
FeAgSeN2
1.0
3.963 0.000 0.000
0.000 3.963 0.000
0.000 0.000 6.233
N Se Ag Fe
2 1 1 1
direct
0.000 0.500 0.000
0.500 0.000 0.000
0.000 0.000 0.500
0.000 0.000 0.000
0.500 0.500 0.500
```

Arrangement b

The following is a DFT calculation (PBE) of an optimized crystal structure of FeAgSeN2.

POSCAR file:
```
FeAgSeN2
1.0
3.622 0.000 0.000
0.000 3.622 0.000
0.000 0.000 5.445
N Se Ag Fe
2 1 1 1
direct
0.000 0.500 0.000
0.500 0.000 0.000
0.000 0.000 0.500
0.500 0.500 0.500
0.000 0.000 0.000
```

Of them, arrangement a has the lowest stability.

Arrangement a

The following is a DFT calculation (PBE) of an optimized crystal structure of FeAgTeN2.

POSCAR file:
```
FeAgTeN2
1.0
-0.055 2.504 2.763
1.943 -2.340 2.158
4.787 2.213 -1.910
Te Fe Ag N
1 1 1 2
direct
0.000 0.000 0.500
0.000 0.000 0.000
0.500 0.500 0.500
0.000 0.500 0.000
0.500 0.000 0.000
```

Arrangement b

The following is a DFT calculation (PBE) of an optimized crystal structure of FeAgTeN2.

POSCAR file:
```
FeAgTeN2
1.0
4.008 0.000 0.000
0.000 4.008 0.000
0.000 0.000 6.988
Te Fe Ag N
1 1 1 2
direct
0.000 0.000 0.500
0.500 0.500 0.500
0.000 0.000 0.000
0.000 0.500 0.000
0.500 0.000 0.000
```

Of them, arrangement b has the lowest stability.

Arrangement a

The following is a DFT calculation (PBE) of an optimized crystal structure of Y2FeAgN.

POSCAR file:
```
Y2FeAgN
1.0
4.977 0.000 0.000
0.000 4.977 0.000
0.000 0.000 3.618
Y Fe Ag N
2 1 1 1
direct
0.000 0.500 0.000
0.500 0.000 0.000
0.000 0.000 0.500
0.500 0.500 0.500
0.000 0.000 0.000
```

Arrangement b

The following is a DFT calculation (PBE) of an optimized crystal structure of Y2FeAgN.

POSCAR file:
```
Y2FeAgN
1.0
-4.559 -2.077 0.183
1.668 -3.831 -1.916
1.018 -1.834 4.553
Y Fe Ag N
2 1 1 1
direct
0.000 0.000 0.500
0.500 0.000 0.000
0.000 0.000 0.000
0.000 0.500 0.000
0.500 0.500 0.500
```

Of them, arrangement b has the lowest stability.

Arrangement a

The following is a DFT calculation (PBE) of an optimized crystal structure of NbFeAg2.

POSCAR file:
```
NbFeAg2
1.0
7.458 0.000 0.000
0.000 7.458 0.000
3.729 3.729 2.507
Nb Fe Ag
2 2 4
direct
0.000 0.000 0.000
0.750 0.250 0.500
0.500 0.500 0.000
0.250 0.750 0.500
0.585 0.125 0.250
0.165 0.625 0.250
0.375 0.415 0.750
0.875 0.835 0.750
```

Arrangement b

The following is a DFT calculation (PBE) of an optimized crystal structure of NbFeAg2.

POSCAR file:
```
NbFeAg2
1.0
2.190 -0.687 3.878
-0.610 2.819 3.462
-2.259 -1.370 3.651
Nb Fe Ag
1 1 2
direct
0.500 0.500 0.500
0.000 0.000 0.000
0.250 0.250 0.250
0.750 0.750 0.750
```

Of them, arrangement a has the lowest stability.

Arrangement a

The following is a DFT calculation (PBE) of an optimized crystal structure of NbFeAg3.

POSCAR file:
```
NbFeAg3
1.0
4.661 0.000 0.000
0.000 4.661 0.000
0.000 0.000 4.661
Nb Fe Ag
1 1 3
direct
0.500 0.500 0.500
0.000 0.000 0.000
0.000 0.500 0.000
0.000 0.000 0.500
0.500 0.000 0.000
```

Arrangement b

The following is a DFT calculation (PBE) of an optimized crystal structure of NbFeAg3.

POSCAR file:
```
NbFeAg3
1.0
-0.831 2.033 -4.597
-5.012 -0.694 0.599
-0.387 4.620 2.113
Nb Fe Ag
1 1 3
direct
0.000 0.000 0.000
0.500 0.500 0.500
0.000 0.500 0.000
0.000 0.000 0.500
0.500 0.000 0.000
```

Of them, arrangement b has the lowest stability.

Arrangement a

The following is a DFT calculation (PBE) of an optimized crystal structure of FeNi2Ag.

POSCAR file:
```
FeNi2Ag
1.0
4.434 -0.003 -0.007
3.647 2.523 -0.007
0.818 0.255 4.649
Ag Fe Ni
1 1 2
direct
0.750 0.750 0.750
0.250 0.250 0.250
0.992 0.992 0.028
0.508 0.508 0.472
```

Arrangement b

The following is a DFT calculation (PBE) of an optimized crystal structure of FeNi2Ag.

POSCAR file:
```
FeNi2Ag
1.0
6.635 0.000 0.000
0.000 6.635 0.000
3.318 3.318 2.582
Ni Fe Ag
4 2 2
direct
0.592 0.125 0.250
0.158 0.625 0.250
0.375 0.408 0.750
0.875 0.842 0.750
0.500 0.500 0.000
0.250 0.750 0.500
0.000 0.000 0.000
0.750 0.250 0.500
```

Of them, arrangement b has the lowest stability.

Arrangement a

The following is a DFT calculation (PBE) of an optimized crystal structure of FeNi2Ag.

POSCAR file:
```
FeNi2Ag
1.0
0.000 2.961 2.961
2.961 0.000 2.961
2.961 2.961 0.000
Ni Fe Ag
2 1 1
direct
0.250 0.250 0.250
0.750 0.750 0.750
0.000 0.000 0.000
0.500 0.500 0.500
```

Arrangement b

The following is a DFT calculation (PBE) of an optimized crystal structure of FeNi2Ag.

POSCAR file:
```
FeNi2Ag
1.0
-2.669 -0.848 -0.103
0.079 -0.582 2.740
-2.014 6.175 1.370
Ag Fe Ni
1 1 2
direct
0.500 0.500 0.250
0.500 0.500 0.750
0.000 0.000 0.964
0.000 0.000 0.536
```

Arrangement c

The following is a DFT calculation (PBE) of an optimized crystal structure of FeNi2Ag.

POSCAR file:
```
FeNi2Ag
1.0
-1.801 0.892 1.733
-0.257 -3.326 1.444
3.930 1.200 3.466
Ag Fe Ni
1 1 2
direct
0.000 0.000 0.494
0.500 0.500 0.786
0.000 0.000 0.996
0.500 0.500 0.223
```

Arrangement d

The following is a DFT calculation (PBE) of an optimized crystal structure of FeNi2Ag.

POSCAR file:
```
FeNi2Ag
1.0
-4.039 0.532 -0.997
-1.252 -0.432 -3.980
-2.336 -3.300 -1.117
Ag Fe Ni
1 1 2
direct
0.500 0.500 0.500
0.750 0.750 0.750
0.000 0.000 0.000
0.250 0.250 0.250
```

Of them, arrangement d has the lowest stability.

Arrangement a

The following is a DFT calculation (PBE) of an optimized crystal structure of FeNi2Ag.

POSCAR file:
```
FeNi2Ag
1.0
3.818 0.000 0.000
0.000 3.817 0.000
0.000 0.000 3.557
Ag Fe Ni
1 1 2
direct
0.500 0.000 0.500
0.000 0.500 0.500
0.000 0.000 0.000
0.500 0.500 0.000
```

Arrangement b

The following is a DFT calculation (PBE) of an optimized crystal structure of FeNi2Ag.

POSCAR file:
```
FeNi2Ag
1.0
4.557 0.002 -0.009
3.787 2.534 -0.009
0.859 0.261 4.487
Ag Fe Ni
1 1 2
direct
0.498 0.498 0.509
0.259 0.259 0.218
0.003 0.003 0.007
0.741 0.741 0.766
```

Of them, arrangement a has the lowest stability.

Arrangement a

The following is a DFT calculation (PBE) of an optimized crystal structure of Fe3NiAg.

POSCAR file:
```
Fe3NiAg
1.0
4.652 0.000 0.000
0.000 4.652 0.000
0.000 0.000 4.652
Ni Fe Ag
1 3 1
direct
0.500 0.500 0.500
0.000 0.500 0.000
0.000 0.000 0.500
0.500 0.000 0.000
0.000 0.000 0.000
```

Arrangement b

The following is a DFT calculation (PBE) of an optimized crystal structure of Fe3NiAg.

POSCAR file:
```
Fe3NiAg
1.0
0.000 -3.205 2.943
0.169 -2.941 -3.203
4.348 0.114 0.125
Ni Fe Ag
1 3 1
direct
0.000 0.000 0.000
0.000 0.500 0.000
0.000 0.000 0.500
0.500 0.000 0.000
0.500 0.500 0.500
```

Of them, arrangement a has the lowest stability.

Arrangement a

The following is a DFT calculation (PBE) of an optimized crystal structure of Fe2AgOs2.

POSCAR file:
```
Fe2AgOs2
1.0
7.334 0.000 0.000
0.000 7.334 0.000
0.000 0.000 2.626
Os Fe Ag
4 4 2
direct
0.374 0.874 0.000
0.874 0.626 0.000
0.626 0.126 0.000
0.126 0.374 0.000
0.165 0.665 0.500
0.665 0.835 0.500
0.835 0.335 0.500
0.335 0.165 0.500
0.000 0.000 0.000
0.500 0.500 0.000
```

Arrangement b

The following is a DFT calculation (PBE) of an optimized crystal structure of Fe2AgOs2.

POSCAR file:
```
Fe2AgOs2
1.0
-7.216 0.540 0.002
-0.322 -4.324 5.793
0.157 2.097 1.574
Os Fe Ag
4 4 2
direct
0.169 0.669 0.500
0.669 0.831 0.500
0.831 0.331 0.500
0.331 0.169 0.500
0.380 0.880 0.000
0.880 0.620 0.000
0.620 0.120 0.000
0.120 0.380 0.000
0.000 0.000 0.000
0.500 0.500 0.000
```

Of them, arrangement a has the lowest stability.

Arrangement a

The following is a DFT calculation (PBE) of an optimized crystal structure of FeAgP.

POSCAR file:
```
FeAgP
1.0
-0.504 3.728 -1.503
-1.954 2.811 2.167
2.044 3.117 1.587
Ag Fe P
1 1 1
direct
0.000 0.000 0.000
0.500 0.500 0.500
0.750 0.750 0.750
```

Arrangement b

The following is a DFT calculation (PBE) of an optimized crystal structure of FeAgP.

POSCAR file:
```
FeAgP
1.0
-1.529 4.799 -2.153
-3.095 4.514 0.237
1.635 1.966 1.306
Ag Fe P
1 1 1
direct
0.000 0.000 0.000
0.296 0.296 0.704
0.704 0.704 0.296
```

Of them, arrangement a has the lowest stability.

Arrangement a

The following is a DFT calculation (PBE) of an optimized crystal structure of FeAgP.

POSCAR file:
```
FeAgP
1.0
-1.834 2.863 -1.518
-0.636 -0.950 3.544
2.624 2.251 1.075
Ag Fe P
1 1 1
direct
0.000 0.000 0.000
0.667 0.333 0.500
0.333 0.667 0.501
```

Arrangement b

The following is a DFT calculation (PBE) of an optimized crystal structure of FeAgP.

POSCAR file:
```
FeAgP
1.0
-2.606 2.669 -0.545
-1.595 -2.106 -2.690
-3.480 -2.566 4.071
P Fe Ag
2 2 2
direct
0.000 0.500 0.304
0.500 0.000 0.696
0.000 0.000 0.500
0.500 0.500 0.500
0.000 0.500 0.875
0.500 0.000 0.125
```

Arrangement c

The following is a DFT calculation (PBE) of an optimized crystal structure of FeAgP.

POSCAR file:
```
FeAgP
1.0
-0.511 -1.580 2.355
-0.402 -1.141 -2.616
5.862 -1.962 -0.044
Ag Fe P
1 1 1
direct
0.000 0.000 0.010
0.333 0.667 0.375
0.667 0.333 0.614
```

Of them, arrangement c has the lowest stability.

Arrangement a

The following is a DFT calculation (PBE) of an optimized crystal structure of FeAgPS2.

POSCAR file:
```
FeAgPS2
1.0
4.667 0.000 0.000
0.000 4.667 0.000
0.000 0.000 4.217
P S Fe Ag
1 2 1 1
direct
0.000 0.000 0.500
0.000 0.500 0.000
0.500 0.000 0.000
0.000 0.000 0.000
0.500 0.500 0.500
```

Arrangement b

The following is a DFT calculation (PBE) of an optimized crystal structure of FeAgPS2.

POSCAR file:
```
FeAgPS2
1.0
-2.960 0.374 3.830
1.826 -4.117 1.813
3.257 2.447 2.278
P S Fe Ag
1 2 1 1
direct
0.000 0.000 0.500
0.000 0.500 0.000
0.500 0.000 0.000
0.500 0.500 0.500
0.000 0.000 0.000
```

Of them, arrangement b has the lowest stability.